{"formula": "Mg4MnBr", "functional": "GGA-PBE", "state": "relaxed", "cell": [[0.000, 4.181, 4.181], [4.181, 0.000, 4.181], [4.181, 4.181, 0.000]], "species": ["Mg", "Mg", "Mg", "Mg", "Mn", "Br"], "frac_coords": [[0.123, 0.123, 0.123], [0.123, 0.123, 0.630], [0.123, 0.630, 0.123], [0.630, 0.123, 0.123], [0.750, 0.750, 0.750], [0.500, 0.500, 0.500]], "dos_at_fermi_per_ev_atom": 0.647}

***

{"formula": "Mg2MnBr6", "functional": "GGA-PBE", "state": "relaxed", "cell": [[6.725, 0.000, 0.000], [-3.362, 5.824, 0.000], [0.000, 0.000, 7.007]], "species": ["Mg", "Mg", "Mn", "Br", "Br", "Br", "Br", "Br", "Br"], "frac_coords": [[0.333, 0.667, 0.000], [0.667, 0.333, 0.000], [0.000, 0.000, 0.000], [0.000, 0.334, 0.215], [0.000, 0.666, 0.785], [0.334, 0.000, 0.215], [0.334, 0.334, 0.785], [0.666, 0.000, 0.785], [0.666, 0.666, 0.215]], "dos_at_fermi_per_ev_atom": 0.000}

***

{"formula": "NaMgMnBr5", "functional": "GGA-PBE", "state": "relaxed", "cell": [[4.477, -6.009, 0.000], [4.477, 6.009, 0.000], [-3.925, 0.000, 9.115]], "species": ["Na", "Na", "Mg", "Mg", "Mn", "Mn", "Br", "Br", "Br", "Br", "Br", "Br", "Br", "Br", "Br", "Br"], "frac_coords": [[0.160, 0.840, 0.750], [0.840, 0.160, 0.250], [0.500, 0.500, 0.000], [0.500, 0.500, 0.500], [0.185, 0.815, 0.250], [0.815, 0.185, 0.750], [0.126, 0.240, 0.944], [0.170, 0.566, 0.379], [0.240, 0.126, 0.444], [0.414, 0.586, 0.750], [0.434, 0.830, 0.121], [0.566, 0.170, 0.879], [0.586, 0.414, 0.250], [0.760, 0.874, 0.556], [0.830, 0.434, 0.621], [0.874, 0.760, 0.056]], "dos_at_fermi_per_ev_atom": 0.000}

***

Number 1: total energy -2.5711 eV/atom. Number 2: total energy -3.7408 eV/atom. Number 3: total energy -3.7435 eV/atom.